No. 1
A PBEsol-optimized structure of ZrSc2Ir. Source: Alexandria via LeMat-Bulk, functional meta-GGA SCAN.

```
ZrSc2Ir
1.0
-1.6643 2.3493 4.9588
1.6643 -2.3493 4.9588
1.6643 2.3493 -4.9588
Zr Sc Ir
1 2 1
Cartesian
0.0000 0.0000 0.0000 Zr
1.6643 0.0000 2.8294 Sc
0.0000 2.3493 2.1294 Sc
0.0000 0.0000 4.9588 Ir
```

Output
calculated formation energy	-0.658	eV per atom
symmetry	No. 71
polymorph energy (0 for the lowest one)	0.008	eV per atom
D(E_F)	2.38	states/eV per cell
energy	-33.2257	eV/atom
magnetization	0.00	μB/atom

---

No. 2
A PBEsol-optimized structure of Zr2ScIr. Source: Alexandria via LeMat-Bulk, functional meta-GGA SCAN.

```
Zr2ScIr
1.0
3.1090 0.0000 0.0000
0.0000 4.5000 0.0000
-1.5654 0.0000 5.4809
Zr Sc Ir
2 1 1
Cartesian
0.2325 0.0000 1.4814 Zr
1.3112 0.0000 3.9995 Zr
1.5545 2.2500 0.0000 Sc
-0.7827 2.2500 2.7405 Ir
```

Output
calculated formation energy	-0.439	eV per atom
symmetry	No. 10
polymorph energy (0 for the lowest one)	0.184	eV per atom
D(E_F)	3.57	states/eV per cell
energy	-37.1226	eV/atom
magnetization	0.00	μB/atom

---

What is the calculated formation energy in the first record? -0.658 eV per atom

---

Copy entry 2 word for word.
A PBEsol-optimized structure of Zr2ScIr. Source: Alexandria via LeMat-Bulk, functional meta-GGA SCAN.

```
Zr2ScIr
1.0
3.1090 0.0000 0.0000
0.0000 4.5000 0.0000
-1.5654 0.0000 5.4809
Zr Sc Ir
2 1 1
Cartesian
0.2325 0.0000 1.4814 Zr
1.3112 0.0000 3.9995 Zr
1.5545 2.2500 0.0000 Sc
-0.7827 2.2500 2.7405 Ir
```

Output
calculated formation energy	-0.439	eV per atom
symmetry	No. 10
polymorph energy (0 for the lowest one)	0.184	eV per atom
D(E_F)	3.57	states/eV per cell
energy	-37.1226	eV/atom
magnetization	0.00	μB/atom